(1)
AlCo2Tc: optimized geometry, PBE-GGA.

Geometry as POSCAR:
```
AlCo2Tc
1.0
2.668 0.000 0.000
0.000 2.668 0.000
0.000 0.000 6.755
Al Co Tc
1 2 1
Cartesian
0.000 0.000 0.000 Al
1.334 1.334 1.612 Co
1.334 1.334 5.144 Co
0.000 0.000 3.378 Tc
```

The total magnetization comes out at 0.00 μB per atom. For the energy relative to the elements, the calculation gives -0.257 eV/atom. The raw total energy is -29.3 eV for the cell shown.

(2)
AlCo2Tc: optimized geometry, PBE-GGA.

Geometry as POSCAR:
```
AlCo2Tc
1.0
0.000 2.904 2.904
2.904 0.000 2.904
2.904 2.904 0.000
Al Co Tc
1 2 1
Cartesian
0.000 0.000 0.000 Al
2.904 2.904 2.904 Co
4.357 4.357 4.357 Co
1.452 1.452 1.452 Tc
```

The total magnetization comes out at 0.01 μB per atom. For the energy relative to the elements, the calculation gives -0.086 eV/atom. The raw total energy is -28.7 eV for the cell shown.

(3)
AlCo2Tc: optimized geometry, PBE-GGA.

Geometry as POSCAR:
```
AlCo2Tc
1.0
2.831 0.000 0.000
0.000 2.831 0.000
0.000 0.000 6.178
Al Co Tc
1 2 1
Cartesian
0.000 0.000 0.000 Al
0.000 0.000 2.861 Co
1.415 1.415 1.403 Co
1.415 1.415 4.394 Tc
```

The total magnetization comes out at 0.50 μB per atom. For the energy relative to the elements, the calculation gives -0.136 eV/atom. The raw total energy is -28.9 eV for the cell shown.